Entry from Alexandria: an optimized crystal structure of BaRuSe2Br (PBE).

Computed properties:
crystal system: tetragonal
energy above the lowest structure with this stoichiometry: 1524 meV/atom
ΔE_f (raw): 3.84 eV/f.u.
DOS at the Fermi energy: 8.60 states/eV/f.u.

```
BaRuSe2Br
1.0
6.169 0.000 0.000
0.000 6.169 0.000
0.000 0.000 6.064
Ba Ru Se Br
1 1 2 1
Cartesian
0.000 0.000 0.000 Ba
3.085 3.085 3.032 Ru
0.000 3.085 0.000 Se
3.085 0.000 0.000 Se
0.000 0.000 3.032 Br
```